(1)
DFT (PBE) results for a relaxed AcMgGaBi crystal.

Values from the calculation:
- E (eV/atom) = -3.4458
- total magnetization (μB per atom) = 0.00

Lattice parameters (Å, degrees): 7.7553 7.7553 7.7553 90.00 90.00 90.00
With the nearest neighbours (Å) after each atom.
Space group F-43m (No. 216)
Asymmetric unit:
Ac  0.0000  0.0000  0.0000 x4  4 Bi 3.36, 4 Ga 3.36
Mg  0.0000  0.0000  0.5000 x4  4 Bi 3.36, 4 Ga 3.36
Ga  0.2500  0.2500  0.7500 x4  4 Ac 3.36, 4 Mg 3.36
Bi  0.2500  0.2500  0.2500 x4  4 Mg 3.36, 4 Ac 3.36



(2)
DFT (PBE) results for a relaxed PaCl2O crystal.

Values from the calculation:
- E (eV/atom) = -6.9876
- total magnetization (μB per atom) = 0.25

Lattice parameters (Å, degrees): 4.1388 14.2943 4.2204 90.00 90.00 90.00
With the nearest neighbours (Å) after each atom.
Space group Cmmm (No. 65)
Asymmetric unit:
Pa  0.0000  0.0000  0.0000 x2  2 O 2.11
Cl  0.0000  0.3711  0.0000 x4  2 Pa 2.77
O  0.0000  0.0000  0.5000 x2  2 Pa 2.11



(3)
DFT (PBE) results for a relaxed LiPm2MnGe6 crystal.

Values from the calculation:
- E (eV/atom) = -5.1698
- total magnetization (μB per atom) = 0.18

Lattice parameters (Å, degrees): 6.1654 6.1654 35.8003 90.00 90.00 120.00
With the nearest neighbours (Å) after each atom.
Space group R-3m (No. 166, hexagonal axes)
Asymmetric unit:
Li  0.0000  0.0000  0.0723 x6  6 Ge 2.49-2.51, 1 Mn 2.59
Pm  0.0000  0.0000  0.2125 x6  12 Ge 3.10-3.41
Pm  0.0000  0.0000  0.3884 x6  12 Ge 3.18-3.53
Mn  0.0000  0.0000  0.0000 x3  6 Ge 2.44, 2 Li 2.59
Mn  0.0000  0.0000  0.5000 x3  6 Ge 2.45
Ge  0.0444  0.5222  0.7944 x18  1 Mn 2.45, 1 Li 2.51, 2 Ge 2.67
Ge  0.0592  0.5296  0.3681 x18  1 Mn 2.44, 1 Li 2.49, 2 Ge 2.53



(4)
DFT (PBE) results for a relaxed Ce2Pr4Pb3O2 crystal.

Values from the calculation:
- E (eV/atom) = -6.0301
- total magnetization (μB per atom) = 0.17

Lattice parameters (Å, degrees): 4.9077 4.9077 26.2792 90.00 90.00 90.00
With the nearest neighbours (Å) after each atom.
Space group I4/mmm (No. 139)
Asymmetric unit:
Ce  0.0000  0.0000  0.1931 x4  1 O 2.31
Pr  0.0000  0.5000  0.0825 x8  2 O 2.53
Pb  0.0000  0.0000  0.3213 x4  5 Ce 3.37-3.49, 4 Pr 3.52
Pb  0.0000  0.0000  0.5000 x2  8 Pr 3.27
O  0.0000  0.0000  0.1053 x4  1 Ce 2.31, 4 Pr 2.53



(5)
DFT (PBE) results for a relaxed Er2Al3Ga3 crystal.

Values from the calculation:
- E (eV/atom) = -4.1470
- total magnetization (μB per atom) = 0.00

Lattice parameters (Å, degrees): 4.1928 4.2497 8.5457 90.00 90.00 90.00
With the nearest neighbours (Å) after each atom.
Space group Pmmm (No. 47)
Asymmetric unit:
Er  0.0000  0.0000  0.2472 x2  6 Ga 2.98-2.99, 6 Al 3.00-3.03
Al  0.0000  0.5000  0.0000 x1  8 Ga 2.98-3.04, 4 Er 3.00
Al  0.0000  0.5000  0.5000 x1  4 Ga 2.95, 4 Al 2.98, 4 Er 3.03
Al  0.5000  0.0000  0.5000 x1  4 Ga 2.97, 4 Al 2.98, 4 Er 3.01
Ga  0.5000  0.0000  0.0000 x1  4 Er 2.98, 4 Al 2.98, 4 Ga 3.06
Ga  0.5000  0.5000  0.2572 x2  6 Al 2.95-3.04, 4 Er 2.99, 2 Ga 3.06



(6)
DFT (PBE) results for a relaxed Cu4TeSeCl2 crystal.

Values from the calculation:
- E (eV/atom) = -3.5502
- total magnetization (μB per atom) = 0.00

Lattice parameters (Å, degrees): 5.6152 5.6152 11.2034 90.00 90.00 90.00
With the nearest neighbours (Å) after each atom.
Space group I-4 (No. 82)
Asymmetric unit:
Cu  0.2362  0.2488  0.3697 x8  1 Se 2.35, 2 Cl 2.42-2.44, 1 Te 2.51
Te  0.0000  0.0000  0.0000 x2  4 Cu 2.51
Se  0.0000  0.5000  0.2500 x2  4 Cu 2.35
Cl  0.0000  0.0000  0.5000 x2  4 Cu 2.42
Cl  0.0000  0.5000  0.7500 x2  4 Cu 2.44



(7)
DFT (PBE) results for a relaxed SrHgIr2 crystal.

Values from the calculation:
- E (eV/atom) = -4.5591
- total magnetization (μB per atom) = 0.00

Lattice parameters (Å, degrees): 2.9601 4.8452 5.8278 90.00 99.72 90.00
With the nearest neighbours (Å) after each atom.
Space group P2/m (No. 10)
Asymmetric unit:
Sr  0.0000  0.0000  0.0000 x1  2 Sr 2.96, 2 Hg 3.04, 4 Ir 3.23
Hg  0.5000  0.0000  0.5000 x1  4 Ir 2.77, 2 Hg 2.96, 2 Sr 3.04
Ir  0.3138  0.5000  0.6947 x2  4 Ir 2.68-2.96, 2 Hg 2.77



(8)
DFT (PBE) results for a relaxed TlCoTc2 crystal.

Values from the calculation:
- E (eV/atom) = -6.8227
- total magnetization (μB per atom) = 0.31

Lattice parameters (Å, degrees): 5.1572 8.3939 2.8930 90.00 90.00 90.00
With the nearest neighbours (Å) after each atom.
Space group Cmmm (No. 65)
Asymmetric unit:
Tl  0.0000  0.0000  0.0000 x2  2 Co 2.58, 8 Tc 2.86
Co  0.0000  0.5000  0.0000 x2  2 Tl 2.58, 8 Tc 2.86
Tc  0.2500  0.2500  0.5000 x4  2 Tc 2.58, 4 Co 2.86, 4 Tl 2.86